Record 1
Below is a geometry-optimized InBiF6 structure, with properties calculated at the PBE-GGA level.

Lattice parameters (Å, degrees): 6.1176 6.1176 6.1176 54.97 54.97 54.97
Fractional coordinates of all 8 atoms:
In 0.0000 0.0000 0.0000
Bi 0.5000 0.5000 0.5000
F 0.1159 0.3622 0.7620
F 0.2380 0.8841 0.6378
F 0.3622 0.7620 0.1159
F 0.6378 0.2380 0.8841
F 0.7620 0.1159 0.3622
F 0.8841 0.6378 0.2380

Summary:
Raw total energy (eV per atom): -4.71

---

Record 2
Below is a geometry-optimized InBiF structure, with properties calculated at the PBE-GGA level.

Lattice parameters (Å, degrees): 3.4036 3.4036 7.4653 90.00 90.00 120.00
Fractional coordinates of all 3 atoms:
In 0.0000 0.0000 0.0000
Bi 0.6667 0.3333 0.3903
F 0.3333 0.6667 0.8175

Summary:
Distance to the lowest polymorph of the same formula (kJ/mol of atoms): 0.0
Raw total energy (eV per atom): -3.70

---

Record 3
Below is a geometry-optimized In2BiF11 structure, with properties calculated at the PBE-GGA level.

Lattice parameters (Å, degrees): 8.3179 8.3179 8.3179 124.89 106.33 98.44
Fractional coordinates of all 28 atoms:
In 0.1823 0.1354 0.3177
In 0.3177 0.6354 0.9532
In 0.6823 0.3646 0.0468
In 0.8177 0.8646 0.6823
Bi 0.2500 0.7500 0.5000
Bi 0.7500 0.2500 0.5000
F 0.0000 0.0000 0.0000
F 0.0213 0.4447 0.7710
F 0.0763 0.8567 0.6552
F 0.1737 0.9447 0.4234
F 0.2015 0.4212 0.3448
F 0.2179 0.8670 0.0849
F 0.2821 0.3670 0.6491
F 0.2985 0.6433 0.2197
F 0.3263 0.7497 0.7710
F 0.4237 0.0788 0.7803
F 0.4787 0.2497 0.4234
F 0.5000 0.5000 0.0000
F 0.5213 0.7503 0.5766
F 0.5763 0.9212 0.2197
F 0.6737 0.2503 0.2290
F 0.7015 0.3567 0.7803
F 0.7179 0.6330 0.3509
F 0.7821 0.1330 0.9151
F 0.7985 0.5788 0.6552
F 0.8263 0.0553 0.5766
F 0.9237 0.1433 0.3448
F 0.9787 0.5553 0.2290

Summary:
Raw total energy (eV per atom): -4.24

---

Record 4
Below is a geometry-optimized In2BiF structure, with properties calculated at the PBE-GGA level.

Lattice parameters (Å, degrees): 7.4615 7.4615 7.4615 39.50 39.50 39.50
Fractional coordinates of all 4 atoms:
In 0.1067 0.1067 0.1067
In 0.8933 0.8933 0.8933
Bi 0.5000 0.5000 0.5000
F 0.0000 0.0000 0.0000

Summary:
Distance to the lowest polymorph of the same formula (kJ/mol of atoms): 0.0
Raw total energy (eV per atom): -3.54

---

Record 5
Below is a geometry-optimized In12Bi5F3 structure, with properties calculated at the PBE-GGA level.

Lattice parameters (Å, degrees): 14.8215 14.8215 14.8215 109.47 109.47 109.47
Fractional coordinates of all 80 atoms:
In 0.0461 0.6307 0.3776
In 0.0461 0.9154 0.6685
In 0.0846 0.2531 0.1307
In 0.0846 0.3315 0.9539
In 0.1224 0.7531 0.6685
In 0.1224 0.8693 0.4539
In 0.1307 0.0846 0.2531
In 0.1307 0.5461 0.8776
In 0.1685 0.2531 0.6224
In 0.1685 0.4154 0.5461
In 0.2469 0.3315 0.8776
In 0.2469 0.4154 0.3693
In 0.2531 0.1307 0.0846
In 0.2531 0.6224 0.1685
In 0.3315 0.8776 0.2469
In 0.3315 0.9539 0.0846
In 0.3693 0.2469 0.4154
In 0.3693 0.6224 0.9539
In 0.3776 0.0461 0.6307
In 0.3776 0.8315 0.7469
In 0.4154 0.3693 0.2469
In 0.4154 0.5461 0.1685
In 0.4539 0.1224 0.8693
In 0.4539 0.8315 0.5846
In 0.5461 0.1685 0.4154
In 0.5461 0.8776 0.1307
In 0.5846 0.4539 0.8315
In 0.5846 0.6307 0.7531
In 0.6224 0.1685 0.2531
In 0.6224 0.9539 0.3693
In 0.6307 0.3776 0.0461
In 0.6307 0.7531 0.5846
In 0.6685 0.0461 0.9154
In 0.6685 0.1224 0.7531
In 0.7469 0.3776 0.8315
In 0.7469 0.8693 0.9154
In 0.7531 0.5846 0.6307
In 0.7531 0.6685 0.1224
In 0.8315 0.5846 0.4539
In 0.8315 0.7469 0.3776
In 0.8693 0.4539 0.1224
In 0.8693 0.9154 0.7469
In 0.8776 0.1307 0.5461
In 0.8776 0.2469 0.3315
In 0.9154 0.6685 0.0461
In 0.9154 0.7469 0.8693
In 0.9539 0.0846 0.3315
In 0.9539 0.3693 0.6224
Bi 0.0000 0.0000 0.0000
Bi 0.0000 0.0000 0.5000
Bi 0.0000 0.5000 0.0000
Bi 0.0000 0.5000 0.5000
Bi 0.1250 0.7500 0.8750
Bi 0.1250 0.8750 0.2500
Bi 0.2500 0.1250 0.8750
Bi 0.2500 0.6250 0.3750
Bi 0.3750 0.2500 0.6250
Bi 0.3750 0.6250 0.7500
Bi 0.5000 0.0000 0.0000
Bi 0.5000 0.0000 0.5000
Bi 0.5000 0.5000 0.0000
Bi 0.5000 0.5000 0.5000
Bi 0.6250 0.3750 0.2500
Bi 0.6250 0.7500 0.3750
Bi 0.7500 0.3750 0.6250
Bi 0.7500 0.8750 0.1250
Bi 0.8750 0.1250 0.7500
Bi 0.8750 0.2500 0.1250
F 0.1250 0.2500 0.3750
F 0.1250 0.3750 0.7500
F 0.2500 0.3750 0.1250
F 0.2500 0.8750 0.6250
F 0.3750 0.1250 0.2500
F 0.3750 0.7500 0.1250
F 0.6250 0.2500 0.8750
F 0.6250 0.8750 0.7500
F 0.7500 0.1250 0.3750
F 0.7500 0.6250 0.8750
F 0.8750 0.6250 0.2500
F 0.8750 0.7500 0.6250

Summary:
Raw total energy (eV per atom): -3.17

---

Record 6
Below is a geometry-optimized In3BiF structure, with properties calculated at the PBE-GGA level.

Lattice parameters (Å, degrees): 6.1108 6.1108 6.1108 90.00 90.00 90.00
Fractional coordinates of all 5 atoms:
In 0.0000 0.0000 0.5000
In 0.0000 0.5000 0.0000
In 0.5000 0.0000 0.0000
Bi 0.0000 0.0000 0.0000
F 0.5000 0.5000 0.5000

Summary:
Distance to the lowest polymorph of the same formula (kJ/mol of atoms): 63.0
Raw total energy (eV per atom): -2.67

---

| no. | calculated volume (Å³/atom) |
| --- | --- |
| 1 | 17.9 |
| 2 | 25.0 |
| 3 | 14.9 |
| 4 | 37.8 |
| 5 | 31.3 |
| 6 | 45.6 |